[1]
First-principles (GGA-PBE) data for a relaxed structure of CaAlSe, as listed in Alexandria.

a b c (Å): 4.6346 5.4746 10.9803
angles (deg): 90.00 90.00 90.00
Fractional positions:
Ca1 0.0000 0.0000 0.0000
Ca2 0.0000 0.5000 0.5000
Ca3 0.5000 0.0000 0.5000
Ca4 0.5000 0.5000 0.0000
Al1 0.0000 0.0000 0.7001
Al2 0.0000 0.5000 0.2001
Al3 0.5000 0.0000 0.2001
Al4 0.5000 0.5000 0.7001
Se1 0.0000 0.0000 0.3272
Se2 0.0000 0.5000 0.8272
Se3 0.5000 0.0000 0.8272
Se4 0.5000 0.5000 0.3272

Values from the calculation:
- E_form (uncorrected) (eV per atom) = -0.596
- calculated volume (Å³/f.u.) = 69.6
- size of the total moment (Bohr magnetons per cell) = 0.000
- energy above the lowest structure with this stoichiometry (eV/atom) = 0.037

[2]
First-principles (GGA-PBE) data for a relaxed structure of Pm5YAl2, as listed in Alexandria.

a b c (Å): 5.4134 5.4134 19.9546
angles (deg): 90.00 90.00 120.00
Fractional positions:
Pm1 0.0000 0.0000 0.1547
Pm2 0.0000 0.0000 0.3453
Pm3 0.0000 0.0000 0.6547
Pm4 0.0000 0.0000 0.8453
Pm5 0.3333 0.6667 0.0554
Pm6 0.3333 0.6667 0.2500
Pm7 0.3333 0.6667 0.4446
Pm8 0.6667 0.3333 0.5554
Pm9 0.6667 0.3333 0.7500
Pm10 0.6667 0.3333 0.9446
Y1 0.3333 0.6667 0.7500
Y2 0.6667 0.3333 0.2500
Al1 0.3333 0.6667 0.6009
Al2 0.3333 0.6667 0.8991
Al3 0.6667 0.3333 0.1009
Al4 0.6667 0.3333 0.3991

Values from the calculation:
- calculated volume (Å³/f.u.) = 253.2
- formation enthalpy at 0 K (kJ per mole of atoms) = -3
- size of the total moment (Bohr magnetons per cell) = 0.001
- energy above the lowest structure with this stoichiometry (eV/atom) = 0.047

[3]
First-principles (GGA-PBE) data for a relaxed structure of K2SrZn, as listed in Alexandria.

a b c (Å): 7.4180 12.4898 4.3702
angles (deg): 90.00 90.00 90.00
Fractional positions:
K1 0.2500 0.2500 0.0000
K2 0.2500 0.7500 0.0000
K3 0.7500 0.2500 0.0000
K4 0.7500 0.7500 0.0000
Sr1 0.0000 0.0000 0.5000
Sr2 0.5000 0.5000 0.5000
Zn1 0.0000 0.5000 0.5000
Zn2 0.5000 0.0000 0.5000

Values from the calculation:
- calculated volume (Å³/f.u.) = 202.4
- formation enthalpy at 0 K (kJ per mole of atoms) = 24
- size of the total moment (Bohr magnetons per cell) = 0.000

[4]
First-principles (GGA-PBE) data for a relaxed structure of Ru2PtW, as listed in Alexandria.

a b c (Å): 9.1749 2.7531 4.7752
angles (deg): 90.00 99.99 90.00
Fractional positions:
Ru1 0.0000 0.0000 0.0000
Ru2 0.2435 0.5000 0.2189
Ru3 0.5000 0.5000 0.0000
Ru4 0.7435 0.0000 0.2189
Pt1 0.4993 0.0000 0.4909
Pt2 0.9993 0.5000 0.4909
W1 0.2503 0.0000 0.7400
W2 0.7503 0.5000 0.7400

Values from the calculation:
- calculated volume (Å³/f.u.) = 59.4
- formation enthalpy at 0 K (kJ per mole of atoms) = -2
- size of the total moment (Bohr magnetons per cell) = 0.000
- energy above the lowest structure with this stoichiometry (eV/atom) = 0.150

[5]
First-principles (GGA-PBE) data for a relaxed structure of Sc2ReH, as listed in Alexandria.

a b c (Å): 6.1080 6.1080 6.6219
angles (deg): 90.00 90.00 90.00
Fractional positions:
Sc1 0.1586 0.2500 0.1250
Sc2 0.2500 0.6586 0.3750
Sc3 0.2500 0.8414 0.8750
Sc4 0.3414 0.2500 0.6250
Sc5 0.6586 0.7500 0.6250
Sc6 0.7500 0.1586 0.8750
Sc7 0.7500 0.3414 0.3750
Sc8 0.8414 0.7500 0.1250
Re1 0.0000 0.0000 0.5000
Re2 0.0000 0.5000 0.7500
Re3 0.5000 0.0000 0.2500
Re4 0.5000 0.5000 0.0000
H1 0.0000 0.0000 0.0000
H2 0.0000 0.5000 0.2500
H3 0.5000 0.0000 0.7500
H4 0.5000 0.5000 0.5000

Values from the calculation:
- calculated volume (Å³/f.u.) = 61.8
- size of the total moment (Bohr magnetons per cell) = 0.000
- energy above the lowest structure with this stoichiometry (eV/atom) = 0.000

[6]
First-principles (GGA-PBE) data for a relaxed structure of Rb3Re2O8, as listed in Alexandria.

a b c (Å): 8.3587 8.3587 8.3587
angles (deg): 44.79 44.79 44.79
Fractional positions:
Rb1 0.0000 0.0000 0.0000
Rb2 0.1989 0.1989 0.1989
Rb3 0.8011 0.8011 0.8011
Re1 0.4050 0.4050 0.4050
Re2 0.5950 0.5950 0.5950
O1 0.2638 0.7204 0.7204
O2 0.2796 0.2796 0.7362
O3 0.2796 0.7362 0.2796
O4 0.3262 0.3262 0.3262
O5 0.6738 0.6738 0.6738
O6 0.7204 0.2638 0.7204
O7 0.7204 0.7204 0.2638
O8 0.7362 0.2796 0.2796

Values from the calculation:
- E_form (uncorrected) (eV per atom) = -1.819
- calculated volume (Å³/f.u.) = 263.7
- size of the total moment (Bohr magnetons per cell) = 1.095